1.
# MnVGaNi, optimized geometry, DFT GGA-PBE
data_MnVGaNi
_cell_length_a 5.7937
_cell_length_b 5.7937
_cell_length_c 5.7937
_cell_angle_alpha 90.00
_cell_angle_beta 90.00
_cell_angle_gamma 90.00
_space_group_name_H-M_alt 'F -4 3 m'
_space_group_IT_number 216
_space_group_name_Hall 'F -4 2 3'
loop_
_atom_site_label
_atom_site_type_symbol
_atom_site_fract_x
_atom_site_fract_y
_atom_site_fract_z
Mn1 Mn 0.0000 0.0000 0.0000
V1 V 0.2500 0.2500 0.2500
Ga1 Ga 0.2500 0.2500 0.7500
Ni1 Ni 0.0000 0.0000 0.5000
# Electronic total energy (Ry/atom): -0.5121
# Theoretical density (g/cm³): 8.00
# Volume (Å³ per cell): 194
# DFT formation energy (eV/atom): -0.19

2.
# BeNb2Cr, optimized geometry, DFT GGA-PBE
data_BeNb2Cr
_cell_length_a 3.0762
_cell_length_b 3.0762
_cell_length_c 21.8606
_cell_angle_alpha 90.00
_cell_angle_beta 90.00
_cell_angle_gamma 120.00
_space_group_name_H-M_alt 'R -3 m'
_space_group_IT_number 166
_space_group_name_Hall '-R 3 2"'
loop_
_atom_site_label
_atom_site_type_symbol
_atom_site_fract_x
_atom_site_fract_y
_atom_site_fract_z
Be1 Be 0.0000 0.0000 0.0000
Nb1 Nb 0.0000 0.0000 0.2529
Cr1 Cr 0.0000 0.0000 0.5000
# Electronic total energy (Ry/atom): -0.5902
# Theoretical density (g/cm³): 6.86
# Volume (Å³ per cell): 179
# DFT formation energy (eV/atom): 0.34

3.
# La2NbAuO, optimized geometry, DFT GGA-PBE
data_La2NbAuO
_cell_length_a 5.9339
_cell_length_b 5.9339
_cell_length_c 3.9590
_cell_angle_alpha 90.00
_cell_angle_beta 90.00
_cell_angle_gamma 90.00
_space_group_name_H-M_alt 'P 4/m m m'
_space_group_IT_number 123
_space_group_name_Hall '-P 4 2'
loop_
_atom_site_label
_atom_site_type_symbol
_atom_site_fract_x
_atom_site_fract_y
_atom_site_fract_z
La1 La 0.0000 0.5000 0.0000
Nb1 Nb 0.0000 0.0000 0.5000
Au1 Au 0.5000 0.5000 0.0000
O1 O 0.5000 0.5000 0.5000
# Formation energy (no corrections) (eV per formula unit): 2.04
# Electronic total energy (Ry/atom): -0.3840
# Theoretical density (g/cm³): 6.95
# Volume (Å³ per cell): 139

4.
# Na3U3SiN8, optimized geometry, DFT GGA-PBE
data_Na3U3SiN8
_cell_length_a 11.3077
_cell_length_b 7.0546
_cell_length_c 6.9974
_cell_angle_alpha 90.00
_cell_angle_beta 125.58
_cell_angle_gamma 90.00
_space_group_name_H-M_alt 'C 1 2/m 1'
_space_group_IT_number 12
loop_
_space_group_symop_operation_xyz
'x,y,z'
'-x,-y,-z'
'-x,y,-z'
'x,-y,z'
'x+1/2,y+1/2,z'
'-x+1/2,-y+1/2,-z'
'-x+1/2,y+1/2,-z'
'x+1/2,-y+1/2,z'
loop_
_atom_site_label
_atom_site_type_symbol
_atom_site_fract_x
_atom_site_fract_y
_atom_site_fract_z
Na1 Na 0.0000 0.0000 0.0000
Na2 Na 0.2500 0.2500 0.0000
U1 U 0.0000 0.5000 0.5000
U2 U 0.2500 0.2500 0.5000
Si1 Si 0.0000 0.0000 0.5000
N1 N 0.0294 0.2635 0.3176
N2 N 0.1898 0.0000 0.6680
N3 N 0.2295 0.5000 0.6880
# Formation energy (no corrections) (eV per formula unit): -11.57
# Electronic total energy (Ry/atom): -0.5949
# Theoretical density (g/cm³): 6.75
# Volume (Å³ per cell): 454

5.
# ScNi2Ir, optimized geometry, DFT GGA-PBE
data_ScNi2Ir
_cell_length_a 2.8211
_cell_length_b 4.1112
_cell_length_c 4.9889
_cell_angle_alpha 90.00
_cell_angle_beta 106.21
_cell_angle_gamma 90.00
_space_group_name_H-M_alt 'P 1 m 1'
_space_group_IT_number 6
loop_
_space_group_symop_operation_xyz
'x,y,z'
'x,-y,z'
loop_
_atom_site_label
_atom_site_type_symbol
_atom_site_fract_x
_atom_site_fract_y
_atom_site_fract_z
Sc1 Sc 0.0000 0.0000 0.0000
Ni1 Ni 0.2659 0.0000 0.5214
Ni2 Ni 0.3988 0.5000 0.7958
Ir1 Ir 0.6771 0.5000 0.3461
# Electronic total energy (Ry/atom): -0.5147
# Theoretical density (g/cm³): 10.60
# Volume (Å³ per cell): 56
# DFT formation energy (eV/atom): -0.31

6.
# Tl5Bi2H2, optimized geometry, DFT GGA-PBE
data_Tl5Bi2H2
_cell_length_a 22.3134
_cell_length_b 6.9644
_cell_length_c 6.4884
_cell_angle_alpha 90.00
_cell_angle_beta 90.00
_cell_angle_gamma 90.00
_space_group_name_H-M_alt 'I m a 2'
_space_group_IT_number 46
loop_
_space_group_symop_operation_xyz
'x,y,z'
'-x,-y,z'
'-x+1/2,y,z'
'x+1/2,-y,z'
'x+1/2,y+1/2,z+1/2'
'-x+1/2,-y+1/2,z+1/2'
'-x,y+1/2,z+1/2'
'x,-y+1/2,z+1/2'
loop_
_atom_site_label
_atom_site_type_symbol
_atom_site_fract_x
_atom_site_fract_y
_atom_site_fract_z
Tl1 Tl 0.0800 0.0053 0.0000
Tl2 Tl 0.1462 0.5153 0.9774
Tl3 Tl 0.2500 0.6579 0.5166
Bi1 Bi 0.0000 0.0000 0.5543
Bi2 Bi 0.2500 0.2339 0.7430
H1 H 0.9995 0.1937 0.0694
# Electronic total energy (Ry/atom): -0.2014
# Theoretical density (g/cm³): 9.50
# Volume (Å³ per cell): 1008

7.
# Sc3BeAl, optimized geometry, DFT GGA-PBE
data_Sc3BeAl
_cell_length_a 4.7860
_cell_length_b 4.7860
_cell_length_c 4.7860
_cell_angle_alpha 90.00
_cell_angle_beta 90.00
_cell_angle_gamma 90.00
_space_group_name_H-M_alt 'P m -3 m'
_space_group_IT_number 221
_space_group_name_Hall '-P 4 2 3'
loop_
_atom_site_label
_atom_site_type_symbol
_atom_site_fract_x
_atom_site_fract_y
_atom_site_fract_z
Sc1 Sc 0.0000 0.0000 0.5000
Be1 Be 0.0000 0.0000 0.0000
Al1 Al 0.5000 0.5000 0.5000
# Electronic total energy (Ry/atom): -0.3780
# Theoretical density (g/cm³): 2.59
# Volume (Å³ per cell): 110
# DFT formation energy (eV/atom): 0.15

8.
# In2NiPt, optimized geometry, DFT GGA-PBE
data_In2NiPt
_cell_length_a 3.2502
_cell_length_b 3.2502
_cell_length_c 6.4444
_cell_angle_alpha 90.00
_cell_angle_beta 90.00
_cell_angle_gamma 90.00
_space_group_name_H-M_alt 'P 4/m m m'
_space_group_IT_number 123
_space_group_name_Hall '-P 4 2'
loop_
_atom_site_label
_atom_site_type_symbol
_atom_site_fract_x
_atom_site_fract_y
_atom_site_fract_z
In1 In 0.0000 0.0000 0.2366
Ni1 Ni 0.5000 0.5000 0.0000
Pt1 Pt 0.5000 0.5000 0.5000
# Electronic total energy (Ry/atom): -0.3347
# Theoretical density (g/cm³): 11.79
# Volume (Å³ per cell): 68
# DFT formation energy (eV/atom): -0.23